Entry from Alexandria: a geometry-optimized KTeBr3 structure (PBE-GGA).

SG   Pm-3m (221)
ΔE_f (raw)   -0.732 eV per atom
Distance to the lowest polymorph of the same formula   87 meV/atom
E_tot   -2.584 eV per atom

```
KTeBr3
1.0
5.821 0.000 0.000
0.000 5.821 0.000
0.000 0.000 5.821
K Te Br
1 1 3
direct
0.000 0.000 0.000
0.500 0.500 0.500
0.000 0.500 0.500
0.500 0.000 0.500
0.500 0.500 0.000
```